No. 1
Below is a geometry-optimized SrCaNi2 structure, with properties calculated at the PBE-GGA level.

Values from the calculation:
**Polymorph energy (0 for the lowest one)**: 0.345 eV per atom
**Symmetry**: I-4m2
**Formation energy**: 6.16 kcal/mol of atoms

Lattice parameters (Å, degrees): 5.873 5.873 5.873 138.65 138.65 59.91
Element x y z (fractional)
Ni 0.250 0.750 0.500
Ni 0.000 0.000 0.000
Sr 0.500 0.500 0.000
Ca 0.750 0.250 0.500

No. 2
Below is a geometry-optimized SrCa3Ni structure, with properties calculated at the PBE-GGA level.

Values from the calculation:
**Polymorph energy (0 for the lowest one)**: 0.650 eV per atom
**Symmetry**: Cmcm
**Formation energy**: 13.66 kcal/mol of atoms

Lattice parameters (Å, degrees): 11.345 11.345 5.766 90.00 90.00 145.81
Element x y z (fractional)
Ni 0.501 0.499 0.750
Ni 0.499 0.501 0.250
Sr 0.212 0.788 0.250
Sr 0.788 0.212 0.750
Ca 0.000 0.000 0.500
Ca 0.382 0.157 0.750
Ca 0.618 0.843 0.250
Ca 0.157 0.382 0.250
Ca 0.843 0.618 0.750
Ca 0.000 0.000 0.000

No. 3
Below is a geometry-optimized SrCaNi3 structure, with properties calculated at the PBE-GGA level.

Values from the calculation:
**Polymorph energy (0 for the lowest one)**: 0.292 eV per atom
**Symmetry**: Pm-3m
**Formation energy**: 25.59 kcal/mol of atoms

Lattice parameters (Å, degrees): 4.950 4.950 4.950 90.00 90.00 90.00
Element x y z (fractional)
Ni 0.000 0.000 0.500
Ni 0.000 0.500 0.000
Ni 0.500 0.000 0.000
Sr 0.000 0.000 0.000
Ca 0.500 0.500 0.500

No. 4
Below is a geometry-optimized SrCa2Ni structure, with properties calculated at the PBE-GGA level.

Values from the calculation:
**Polymorph energy (0 for the lowest one)**: 0.485 eV per atom
**Symmetry**: C2/m
**Formation energy**: 9.64 kcal/mol of atoms

Lattice parameters (Å, degrees): 6.728 6.728 3.775 76.15 76.15 119.98
Element x y z (fractional)
Ca 0.500 0.500 0.000
Ca 0.000 0.000 0.000
Sr 0.000 0.500 0.500
Ni 0.500 0.000 0.500

No. 5
Below is a geometry-optimized Sr2Ca6Ni structure, with properties calculated at the PBE-GGA level.

Values from the calculation:
**Symmetry**: Fm-3m
**Formation energy**: -0.91 kcal/mol of atoms

Lattice parameters (Å, degrees): 8.008 8.008 8.009 59.99 59.99 60.00
Element x y z (fractional)
Ca 0.746 0.254 0.254
Ca 0.746 0.254 0.746
Ca 0.254 0.746 0.746
Ca 0.254 0.254 0.745
Ca 0.254 0.746 0.254
Ca 0.746 0.746 0.255
Sr 0.750 0.750 0.750
Sr 0.250 0.250 0.250
Ni 0.500 0.500 0.500

No. 6
Below is a geometry-optimized SrCaNi4 structure, with properties calculated at the PBE-GGA level.

Values from the calculation:
**Polymorph energy (0 for the lowest one)**: 0.000 eV per atom
**Symmetry**: F-43m
**Formation energy**: -1.77 kcal/mol of atoms

Lattice parameters (Å, degrees): 5.174 5.174 5.174 60.00 60.00 60.00
Element x y z (fractional)
Ca 0.000 0.000 0.000
Ni 0.626 0.626 0.626
Ni 0.123 0.626 0.626
Ni 0.626 0.123 0.626
Ni 0.626 0.626 0.123
Sr 0.250 0.250 0.250

Here are the calculated Fermi-level density of states numbers, same order: 1.68 16.05 4.81 3.59 8.47 5.45 (states/eV/cell).
Here are the calculated spin magnetization numbers, same order: 0.0 0.0 0.0 0.0 0.0 0.0 (μB/cell).